# 1
The following is a DFT calculation (GGA-PBE) of a geometry-optimized Rb2CdAgCl6 structure.

Properties
* total energy: -0.106 hartree per atom

Unit cell a=10.386 b=10.386 c=10.386 alpha=90.00 beta=90.00 gamma=90.00
Space group Fm-3m (No. 225)
Symmetry-distinct sites (fractional):
1 Rb 0.250 0.250 0.250
2 Cd 0.000 0.000 0.000
3 Ag 0.000 0.000 0.500
4 Cl 0.000 0.000 0.251

# 2
The following is a DFT calculation (GGA-PBE) of a geometry-optimized Tl2CdAgCl6 structure.

Properties
* total energy: -0.101 hartree per atom

Unit cell a=10.327 b=10.327 c=10.327 alpha=90.00 beta=90.00 gamma=90.00
Space group Fm-3m (No. 225)
Symmetry-distinct sites (fractional):
1 Tl 0.250 0.250 0.250
2 Cd 0.000 0.000 0.000
3 Ag 0.000 0.000 0.500
4 Cl 0.000 0.000 0.251

# 3
The following is a DFT calculation (GGA-PBE) of a geometry-optimized CdGaCoAg structure.

Properties
* offset from the most stable computed form: 0 meV per atom

Unit cell a=6.353 b=6.353 c=6.353 alpha=90.00 beta=90.00 gamma=90.00
Space group F-43m (No. 216)
Symmetry-distinct sites (fractional):
1 Cd 0.000 0.000 0.000
2 Ga 0.000 0.000 0.500
3 Co 0.250 0.250 0.750
4 Ag 0.250 0.250 0.250

# 4
The following is a DFT calculation (GGA-PBE) of a geometry-optimized CdInCoAg structure.

Properties
* offset from the most stable computed form: 0 meV per atom

Unit cell a=6.547 b=6.547 c=6.547 alpha=90.00 beta=90.00 gamma=90.00
Space group F-43m (No. 216)
Symmetry-distinct sites (fractional):
1 Cd 0.000 0.000 0.000
2 In 0.000 0.000 0.500
3 Co 0.250 0.250 0.750
4 Ag 0.250 0.250 0.250

# 5
The following is a DFT calculation (GGA-PBE) of a geometry-optimized CdCoAg2SeS3 structure.

Properties
* total energy: -0.142 hartree per atom

Unit cell a=8.047 b=7.945 c=6.987 alpha=90.00 beta=124.98 gamma=90.00
Space group Cm (No. 8)
Symmetry-distinct sites (fractional):
1 Cd 0.000 0.000 0.000
2 Co 0.013 0.500 0.000
3 Ag 0.496 0.236 0.483
4 Se 0.165 0.000 0.757
5 S 0.111 0.500 0.771
6 S 0.119 0.281 0.224

# 6
The following is a DFT calculation (GGA-PBE) of a geometry-optimized CdCoAgSb structure.

Properties
* offset from the most stable computed form: 0 meV per atom

Unit cell a=6.607 b=6.607 c=6.607 alpha=90.00 beta=90.00 gamma=90.00
Space group F-43m (No. 216)
Symmetry-distinct sites (fractional):
1 Cd 0.000 0.000 0.000
2 Co 0.250 0.250 0.750
3 Ag 0.250 0.250 0.250
4 Sb 0.000 0.000 0.500

# 7
The following is a DFT calculation (GGA-PBE) of a geometry-optimized CdCoAgSn structure.

Properties
* offset from the most stable computed form: 0 meV per atom

Unit cell a=6.566 b=6.566 c=6.566 alpha=90.00 beta=90.00 gamma=90.00
Space group F-43m (No. 216)
Symmetry-distinct sites (fractional):
1 Cd 0.000 0.000 0.000
2 Co 0.250 0.250 0.750
3 Ag 0.250 0.250 0.250
4 Sn 0.000 0.000 0.500

# 8
The following is a DFT calculation (GGA-PBE) of a geometry-optimized TlCdCoAg structure.

Properties
* offset from the most stable computed form: 0 meV per atom

Unit cell a=6.640 b=6.640 c=6.640 alpha=90.00 beta=90.00 gamma=90.00
Space group F-43m (No. 216)
Symmetry-distinct sites (fractional):
1 Tl 0.000 0.000 0.000
2 Cd 0.000 0.000 0.500
3 Co 0.250 0.250 0.250
4 Ag 0.250 0.250 0.750